[1]
Compound: Li3BrCl2
Source: Alexandria
Functional: PBE
Structure: relaxed

Computed properties:
N(E_F)   0.0 states/eV per cell
Energy relative to the elements, uncorrected   -1727.9 meV/atom
E_tot   -343.6 eV for the cell shown
ρ   2.10 g/cm3
Offset from the most stable computed form   0.00 eV per formula unit

a = 8.0057 Å, b = 24.0714 Å, c = 11.2688 Å
α = 90.00°, β = 90.00°, γ = 90.00°
Space group Fdd2 (No. 43)
Unique sites:
Li 0.0002 0.2450 0.0000 x16
Li 0.0110 0.4199 0.9941 x16
Li 0.0115 0.0827 0.9890 x16
Br 0.0027 0.1680 0.3708 x16
Cl 0.0000 0.0000 0.3698 x8
Cl 0.0000 0.0000 0.8692 x8
Cl 0.0001 0.1658 0.8697 x16

[2]
Compound: LiBr2Cl
Source: Alexandria
Functional: PBE
Structure: relaxed

Computed properties:
N(E_F)   5.3 states/eV per cell
Energy relative to the elements, uncorrected   -485.2 meV/atom
E_tot   -18.1 eV for the cell shown
ρ   2.62 g/cm3
Offset from the most stable computed form   1.20 eV per formula unit

a = 3.9546 Å, b = 8.5114 Å, c = 7.6088 Å
α = 90.00°, β = 90.00°, γ = 90.00°
Space group Cmm2 (No. 35)
Unique sites:
Li 0.0000 0.0000 0.0000 x2
Br 0.0000 0.0000 0.4801 x2
Br 0.0000 0.5000 0.7824 x2
Cl 0.0000 0.5000 0.1512 x2

[3]
Compound: LiBrCl4
Source: Alexandria
Functional: PBE
Structure: relaxed

Computed properties:
N(E_F)   0.0 states/eV per cell
Energy relative to the elements, uncorrected   -543.4 meV/atom
E_tot   -28.5 eV for the cell shown
ρ   1.80 g/cm3
Offset from the most stable computed form   0.00 eV per formula unit

a = 7.0260 Å, b = 8.0756 Å, c = 8.1084 Å
α = 100.02°, β = 102.55°, γ = 104.50°
Space group P-1 (No. 2)
Unique sites:
Li 0.2495 0.4954 0.0056 x2
Br 0.2460 0.8587 0.6441 x2
Cl 0.0779 0.7268 0.0264 x2
Cl 0.1631 0.7908 0.3350 x2
Cl 0.3384 0.1727 0.7131 x2
Cl 0.4324 0.4838 0.7777 x2

[4]
Compound: Li5Br2Cl2
Source: Alexandria
Functional: PBE
Structure: relaxed

Computed properties:
N(E_F)   5.2 states/eV per cell
Energy relative to the elements, uncorrected   -1251.2 meV/atom
E_tot   -111.5 eV for the cell shown
ρ   2.11 g/cm3

a = 14.5923 Å, b = 6.6036 Å, c = 8.6589 Å
α = 90.00°, β = 90.00°, γ = 90.00°
Space group Cmce (No. 64)
Unique sites:
Li 0.0000 0.0000 0.0000 x4
Li 0.1254 0.1838 0.2759 x16
Br 0.1710 0.0000 0.0000 x8
Cl 0.0000 0.0869 0.6957 x8

[5]
Compound: LiBrCl2
Source: Alexandria
Functional: PBE
Structure: relaxed

Computed properties:
Energy relative to the elements, uncorrected   -590.7 meV/atom
E_tot   -19.3 eV for the cell shown
ρ   1.74 g/cm3
Offset from the most stable computed form   1.18 eV per formula unit

a = 4.1033 Å, b = 9.2646 Å, c = 7.9045 Å
α = 90.00°, β = 90.00°, γ = 90.00°
Space group Cmm2 (No. 35)
Unique sites:
Li 0.0000 0.0000 0.0000 x2
Br 0.0000 0.5000 0.5644 x2
Cl 0.0000 0.0000 0.2743 x2
Cl 0.0000 0.5000 0.8570 x2

[6]
Compound: LiBrCl2
Source: Alexandria
Functional: PBE
Structure: relaxed

Computed properties:
Energy relative to the elements, uncorrected   -724.4 meV/atom
E_tot   -10.2 eV for the cell shown
ρ   2.06 g/cm3
Offset from the most stable computed form   0.64 eV per formula unit

a = 4.5661 Å, b = 5.9265 Å, c = 5.2087 Å
α = 90.00°, β = 115.75°, γ = 90.00°
Space group Pm (No. 6)
Unique sites:
Li 0.0000 0.0000 0.0000 x1
Br 0.2125 0.5000 0.4219 x1
Cl 0.5005 0.0000 0.0011 x1
Cl 0.7856 0.5000 0.5682 x1

[7]
Compound: LiBrCl2
Source: Alexandria
Functional: PBE
Structure: relaxed

Computed properties:
N(E_F)   0.1 states/eV per cell
Energy relative to the elements, uncorrected   -357.1 meV/atom
E_tot   -26.1 eV for the cell shown
ρ   1.76 g/cm3
Offset from the most stable computed form   2.11 eV per formula unit

a = 5.1845 Å, b = 5.1845 Å, c = 19.2231 Å
α = 90.00°, β = 90.00°, γ = 120.00°
Space group R-3m (No. 166, hexagonal axes)
Unique sites:
Li 0.0000 0.0000 0.0000 x3
Br 0.0000 0.0000 0.5000 x3
Cl 0.0000 0.0000 0.1148 x6

[8]
Compound: LiBr2Cl
Source: Alexandria
Functional: PBE
Structure: relaxed

Computed properties:
N(E_F)   10.7 states/eV per cell
Energy relative to the elements, uncorrected   -352.8 meV/atom
E_tot   -34.1 eV for the cell shown
ρ   2.57 g/cm3
Offset from the most stable computed form   1.73 eV per formula unit

a = 6.0226 Å, b = 6.0226 Å, c = 14.4097 Å
α = 90.00°, β = 90.00°, γ = 90.00°
Space group I-42d (No. 122)
Unique sites:
Li 0.0000 0.0000 0.0000 x4
Br 0.1793 0.2500 0.1250 x8
Cl 0.0000 0.0000 0.5000 x4

- The highest ρ belongs to which entry?
  number 2

- Which of these has the highest E_tot?
  number 6